Compound: Y3AlSi2Pt9
Source: Alexandria via LeMat-Bulk
Functional: PBE-GGA
Structure: optimized geometry

The value obtained for the calculated total energy is -100.15 eV/cell. The value obtained for the density of states at the Fermi level is 0.355 states/eV per atom. Its crystal system is trigonal. For the raw formation energy, the calculation gives -0.79 eV per atom.

Unit cell a=6.324 b=6.324 c=8.928 alpha=90.00 beta=90.00 gamma=120.00
Atoms (fractional coordinates):
1 Y 0.333 0.667 0.716
2 Y 0.000 0.000 0.000
3 Y 0.667 0.333 0.284
4 Al 0.000 0.000 0.500
5 Si 0.333 0.667 0.182
6 Si 0.667 0.333 0.818
7 Pt 0.857 0.143 0.720
8 Pt 0.857 0.714 0.720
9 Pt 0.286 0.143 0.720
10 Pt 0.714 0.857 0.280
11 Pt 0.143 0.286 0.280
12 Pt 0.143 0.857 0.280
13 Pt 0.500 0.000 0.000
14 Pt 0.000 0.500 0.000
15 Pt 0.500 0.500 0.000